Here is a geometry-optimized FeNiIO2 structure from the Alexandria database. Energies are from PBE+U.

POSCAR file:
```
FeNiIO2
1.0
3.781 0.000 0.000
0.000 3.781 0.000
0.000 0.000 6.481
Fe I O Ni
1 1 2 1
Direct
0.000 0.000 0.000 Fe
0.000 0.000 0.500 I
0.000 0.500 0.000 O
0.500 0.000 0.000 O
0.500 0.500 0.500 Ni
```

Total energy   -4.155 eV/atom
Relative energy among the computed polymorphs   0.0000 eV/atom
Crystal system   tetragonal
Space-group type   No. 123
ρ   4.9 g/cm³